Arrangement P

! PBE In2Ga2Au7, optimized geometry; values from VASP
&SYSTEM
  ibrav = 0, nat = 11, ntyp = 3
/
ATOMIC_SPECIES
Ga 69.72 Ga.upf
Au 196.97 Au.upf
In 114.82 In.upf
CELL_PARAMETERS angstrom
5.109 0.916 1.047
0.445 6.656 0.885
0.445 -0.008 6.715
ATOMIC_POSITIONS crystal
Ga 0.555 0.669 0.669
Ga 0.445 0.331 0.331
Au 0.117 0.604 0.604
Au 0.284 0.978 0.430
Au 0.716 0.022 0.570
Au 0.883 0.396 0.396
Au 0.716 0.570 0.022
Au 0.500 0.000 0.000
Au 0.284 0.430 0.978
In 0.000 0.180 0.820
In 0.000 0.820 0.180
! space group: C2/m, No. 12
! total moment: 0.0 μB/f.u.

Arrangement Q

! PBE In2Ga2Au7, optimized geometry; values from VASP
&SYSTEM
  ibrav = 0, nat = 11, ntyp = 3
/
ATOMIC_SPECIES
Au 196.97 Au.upf
Ga 69.72 Ga.upf
In 114.82 In.upf
CELL_PARAMETERS angstrom
-1.931 2.442 2.884
3.292 -5.587 4.155
7.477 1.654 0.824
ATOMIC_POSITIONS crystal
Au 0.000 0.000 0.000
Au 0.666 0.416 0.416
Au 0.334 0.584 0.584
Au 0.173 0.390 0.951
Au 0.173 0.951 0.390
Au 0.827 0.049 0.610
Au 0.827 0.610 0.049
Ga 0.955 0.714 0.714
Ga 0.045 0.286 0.286
In 0.500 0.220 0.780
In 0.500 0.780 0.220
! space group: C2/m, No. 12
! total moment: 0.0 μB/f.u.

Computed relative energies in units of meV per atom: arrangement P 14; arrangement Q 0